# 1
DFT (PBE) results for a relaxed structure of InAgRu.

Computed properties:
The value obtained for the magnetic moment is 0.7 μB per cell. The value obtained for the density of states at the Fermi level is 0.893 states/eV/atom. For the calculated density, the calculation gives 10225 kg/m3. The offset from the most stable computed form comes out at 0.4 kJ/mol of atoms. As for the symmetry: Imm2, No. 44. For the energy of formation, the calculation gives 330 meV/atom.

Cell: 5.0549 5.0549 5.0549 Å, 146.04 132.67 59.53°
Closest atoms and distances in Å follow each position.
Element x y z (fractional)
Ag 0.9970 0.9970 0.0000  5 In 2.85-2.94, 5 Ru 2.90-2.93, 2 Ag 2.95
In 0.6725 0.6725 0.0000  5 Ag 2.85-2.94, 5 Ru 2.87-3.00, 2 In 2.95
Ru 0.3305 0.3305 0.0000  5 In 2.87-3.00, 5 Ag 2.90-2.93, 2 Ru 2.95



# 2
DFT (PBE) results for a relaxed structure of NaAcS2.

Computed properties:
The value obtained for the magnetic moment is 0.0 μB per cell. Its uncorrected formation energy is -1.806 eV/atom. The value obtained for the density of states at the Fermi level is 0.000 states/eV/atom. For the calculated density, the calculation gives 4683 kg/m3. As for the symmetry: Pmn2_1, No. 31.

Cell: 4.3779 5.9184 8.5973 Å, 90.00 90.00 90.00°
Closest atoms and distances in Å follow each position.
Element x y z (fractional)
Na 0.2639 0.2010 0.7171  5 S 2.96-3.31
Na 0.7639 0.7010 0.4989  5 S 2.96-3.31
Ac 0.2678 0.2010 0.2601  6 S 2.91-3.08
Ac 0.7678 0.7010 0.9559  6 S 2.91-3.08
S 0.2677 0.7010 0.2078  4 Ac 2.99-3.08, 2 Na 3.31-3.34
S 0.2672 0.7010 0.7327  2 Ac 2.91, 4 Na 2.96-2.98
S 0.7672 0.2010 0.4833  2 Ac 2.91, 4 Na 2.96-2.98
S 0.7678 0.2010 0.0082  4 Ac 2.99-3.08, 2 Na 3.31-3.34